VASP calculation (PBE) on a relaxed structure of In2SbAu.

The structure belongs to space group Pm (No. 6); the cell edges are 5.0042, 4.5556 and 5.0283 Å and the angles 90.00°, 108.85° and 90.00°. The asymmetric unit holds In at (0.0000, 0.0000, 0.0000), In at (0.3075, 0.5000, 0.6939), Sb at (0.5989, 0.0000, 0.4020) and Au at (0.7957, 0.5000, 0.2052).

The value obtained for the uncorrected formation energy is -0.0769 eV/atom. For the polymorph energy (0 for the lowest one), the calculation gives 0.000 eV per atom.